DFT (PBE-GGA) results for a relaxed structure of NbNi2Ge.

Lattice parameters (Å, degrees): 4.158 4.158 21.900 90.00 90.00 120.00
Positions (direct):
Ni 0.333 0.667 0.036
Ni 0.000 0.000 0.369
Ni 0.000 0.000 0.600
Ni 0.667 0.333 0.820
Ni 0.333 0.667 0.267
Ni 0.667 0.333 0.702
Ni 0.000 0.000 0.487
Ni 0.000 0.000 0.977
Ni 0.333 0.667 0.643
Ni 0.667 0.333 0.933
Ni 0.667 0.333 0.310
Ni 0.333 0.667 0.153
Nb 0.000 0.000 0.241
Nb 0.667 0.333 0.574
Nb 0.667 0.333 0.434
Nb 0.333 0.667 0.767
Nb 0.000 0.000 0.101
Nb 0.333 0.667 0.907
Ge 0.333 0.667 0.513
Ge 0.000 0.000 0.702
Ge 0.000 0.000 0.847
Ge 0.333 0.667 0.369
Ge 0.667 0.333 0.036
Ge 0.667 0.333 0.180

Results
ΔE_f ... -0.264 eV per atom
Calculated volume ... 13.66 A^3/atom
SG ... No. 160

=====

DFT (PBE-GGA) results for a relaxed structure of DyErMgZn.

Lattice parameters (Å, degrees): 5.171 5.171 5.171 60.00 60.00 60.00
Positions (direct):
Dy 0.750 0.750 0.750
Er 0.250 0.250 0.250
Zn 0.000 0.000 0.000
Mg 0.500 0.500 0.500

Results
ΔE_f ... -0.175 eV per atom
Calculated volume ... 24.44 A^3/atom
Energy relative to the lowest polymorph listed for this composition ... 0.74 kcal/mol of atoms
SG ... No. 216

=====

DFT (PBE-GGA) results for a relaxed structure of CoRePb2.

Lattice parameters (Å, degrees): 7.501 7.501 6.079 51.91 51.91 90.00
Site moments in Bohr magnetons follow the coordinates.
Positions (direct):
Co 0.250 0.750 0.500  0.98
Co 0.500 0.500 0.000  0.98
Pb 0.875 0.848 0.750  -0.04
Pb 0.375 0.402 0.750  -0.04
Pb 0.598 0.125 0.250  -0.03
Pb 0.152 0.625 0.250  -0.03
Re 0.750 0.250 0.500  1.86
Re 0.000 0.000 0.000  1.85

Results
ΔE_f ... 1.285 eV per atom
Calculated volume ... 20.90 A^3/atom
Energy relative to the lowest polymorph listed for this composition ... 18.96 kcal/mol of atoms
SG ... No. 122